Record 1
Entry from Alexandria via LeMat-Bulk: a geometry-optimized SrSnI3 structure (PBE).

The structure in CIF format:
```
data_SrSnI3
_chemical_formula_sum 'Sr1 Sn1 I3'
_cell_length_a 6.173
_cell_length_b 6.173
_cell_length_c 6.173
_cell_angle_alpha 90.00
_cell_angle_beta 90.00
_cell_angle_gamma 90.00
_symmetry_space_group_name_H-M 'P m -3 m'
_symmetry_Int_Tables_number 221
_symmetry_space_group_name_Hall '-P 4 2 3'
loop_
_atom_site_label
_atom_site_fract_x
_atom_site_fract_y
_atom_site_fract_z
Sr1 0.000 0.000 0.000
Sn1 0.500 0.500 0.500
I1 0.000 0.500 0.500
```

Properties
DOS(E_F) in states/eV per atom: 1.40
Total DFT energy (no corrections) in eV per atom: -2.63
Energy relative to the elements, uncorrected in eV per formula unit: -2.8
Total moment in μB/f.u.: 0.000

Record 2
Entry from Alexandria via LeMat-Bulk: a geometry-optimized SrSn5I12 structure (PBE).

The structure in CIF format:
```
data_SrSn5I12
_chemical_formula_sum 'Sr2 Sn10 I24'
_cell_length_a 7.976
_cell_length_b 13.863
_cell_length_c 15.423
_cell_angle_alpha 90.00
_cell_angle_beta 90.04
_cell_angle_gamma 90.00
_symmetry_space_group_name_H-M 'C 1 2/m 1'
_symmetry_Int_Tables_number 12
_symmetry_space_group_name_Hall '-C 2y'
loop_
_atom_site_label
_atom_site_fract_x
_atom_site_fract_y
_atom_site_fract_z
Sr1 0.000 0.000 0.000
Sn1 0.000 0.167 0.500
Sn2 0.000 0.333 0.000
Sn3 0.000 0.500 0.500
I1 0.158 0.500 0.120
I2 0.166 0.000 0.381
I3 0.166 0.333 0.382
I4 0.170 0.171 0.120
```

Properties
DOS(E_F) in states/eV per atom: 0.00
Total DFT energy (no corrections) in eV per atom: -2.95
Energy relative to the elements, uncorrected in eV per formula unit: -12.8
Total moment in μB/f.u.: 0.000